(1)
This record from OQMD describes a relaxed RbMo crystal. The functional is PBE-GGA.

a = 5.1257 Å, b = 5.1257 Å, c = 9.1427 Å
α = 90.00°, β = 90.00°, γ = 120.00°
With the nearest neighbours (Å) after each atom.
Positions (direct):
Rb1 0.0000 0.0000 0.0000  6 Mo 3.74
Rb2 0.0000 0.0000 0.5000  6 Mo 3.74
Mo1 0.3333 0.6667 0.2500  6 Rb 3.74
Mo2 0.6667 0.3333 0.7500  6 Rb 3.74

Results
Space-group type ... P6_3/mmc (194)
Energy relative to the lowest polymorph listed for this composition ... 977 meV per atom

---

(2)
This record from OQMD describes a relaxed RbMo crystal. The functional is PBE-GGA.

a = 7.5986 Å, b = 7.5986 Å, c = 7.5986 Å
α = 90.00°, β = 90.00°, γ = 90.00°
With the nearest neighbours (Å) after each atom.
Positions (direct):
Rb1 0.0000 0.0000 0.0000  6 Mo 3.80
Rb2 0.0000 0.5000 0.5000  6 Mo 3.80
Rb3 0.5000 0.0000 0.5000  6 Mo 3.80
Rb4 0.5000 0.5000 0.0000  6 Mo 3.80
Mo1 0.0000 0.0000 0.5000  6 Rb 3.80
Mo2 0.0000 0.5000 0.0000  6 Rb 3.80
Mo3 0.5000 0.0000 0.0000  6 Rb 3.80
Mo4 0.5000 0.5000 0.5000  6 Rb 3.80

Results
Space-group type ... Fm-3m (225)
Energy relative to the lowest polymorph listed for this composition ... 957 meV per atom

---

(3)
This record from OQMD describes a relaxed RbMo crystal. The functional is PBE-GGA.

a = 8.5924 Å, b = 8.5924 Å, c = 8.5924 Å
α = 90.00°, β = 90.00°, γ = 90.00°
With the nearest neighbours (Å) after each atom.
Positions (direct):
Rb1 0.0000 0.0000 0.0000  4 Mo 3.72
Rb2 0.0000 0.5000 0.5000  4 Mo 3.72
Rb3 0.5000 0.0000 0.5000  4 Mo 3.72
Rb4 0.5000 0.5000 0.0000  4 Mo 3.72
Mo1 0.2500 0.2500 0.2500  4 Rb 3.72
Mo2 0.2500 0.7500 0.7500  4 Rb 3.72
Mo3 0.7500 0.2500 0.7500  4 Rb 3.72
Mo4 0.7500 0.7500 0.2500  4 Rb 3.72

Results
Space-group type ... F-43m (216)
Energy relative to the lowest polymorph listed for this composition ... 1121 meV per atom

---

(4)
This record from OQMD describes a relaxed RbMo crystal. The functional is PBE-GGA.

a = 2.9589 Å, b = 2.9589 Å, c = 6.4148 Å
α = 90.00°, β = 90.00°, γ = 120.00°
With the nearest neighbours (Å) after each atom.
Positions (direct):
Rb1 0.0000 0.0000 0.0000  6 Rb 2.96
Mo1 0.3333 0.6667 0.5000  6 Mo 2.96

Results
Space-group type ... P-6m2 (187)
Energy relative to the lowest polymorph listed for this composition ... 254 meV per atom

---

Number 1: total magnetic moment 10.2 μB/cell. Number 2: total magnetic moment 20.4 μB/cell. Number 3: total magnetic moment 20.0 μB/cell. Number 4: total magnetic moment 0.0 μB/cell.